Computed, not measured: a geometry-optimized Sr4Al6SO16 structure at the GGA-PBEsol level of DFT.

abc: 8.078 8.078 8.078
angles: 109.47 109.47 109.47
Fractional coordinates of all 27 atoms:
O 0.297 0.297 0.695
O 0.000 0.185 0.000
O 0.305 0.603 0.603
O 0.000 0.000 0.185
O 0.397 0.703 0.000
O 0.397 0.000 0.703
O 0.603 0.603 0.305
O 0.815 0.815 0.815
O 0.703 0.397 0.000
O 0.000 0.397 0.703
O 0.297 0.695 0.297
O 0.695 0.297 0.297
O 0.703 0.000 0.397
O 0.000 0.703 0.397
O 0.185 0.000 0.000
O 0.603 0.305 0.603
Al 0.500 0.750 0.250
Al 0.250 0.750 0.500
Al 0.250 0.500 0.750
Al 0.750 0.500 0.250
Al 0.750 0.250 0.500
Al 0.500 0.250 0.750
Sr 0.000 0.000 0.611
Sr 0.000 0.611 0.000
Sr 0.611 0.000 0.000
Sr 0.389 0.389 0.389
S 0.000 0.000 0.000

Calculated values
formation energy from raw total energies	-77.4	eV/f.u.